1.
Below is a relaxed MgCo2Re crystal, with properties calculated at the GGA-PBE level.

abc: 2.665 2.665 7.574
angles: 90.00 90.00 90.00
Space group P4mm (No. 99)
One atom of each set of equivalent atoms:
Mg1 0.000 0.000 0.000
Co1 0.000 0.000 0.535
Co2 0.500 0.500 0.739
Re1 0.500 0.500 0.297

***

2.
Below is a relaxed MgCoRe2 crystal, with properties calculated at the GGA-PBE level.

abc: 9.650 2.731 4.567
angles: 90.00 105.78 90.00
Space group C2/m (No. 12)
One atom of each set of equivalent atoms:
Mg1 0.000 0.000 0.000
Co1 0.000 0.500 0.500
Re1 0.227 0.000 0.730

***

3.
Below is a relaxed Mg2CoRe2 crystal, with properties calculated at the GGA-PBE level.

Results
ΔE to the lowest computed polymorph   582 meV/atom

abc: 3.449 3.449 13.840
angles: 90.00 90.00 90.00
Space group I4/mmm (No. 139)
One atom of each set of equivalent atoms:
Mg1 0.000 0.500 0.250
Co1 0.000 0.000 0.000
Re1 0.000 0.000 0.415

***

4.
Below is a relaxed MgCo2Re crystal, with properties calculated at the GGA-PBE level.

abc: 2.732 4.332 4.519
angles: 90.00 90.00 90.00
Space group Pmmm (No. 47)
One atom of each set of equivalent atoms:
Mg1 0.000 0.000 0.000
Co1 0.000 0.500 0.500
Co2 0.500 0.500 0.000
Re1 0.500 0.000 0.500

***

5.
Below is a relaxed MgCoRe2 crystal, with properties calculated at the GGA-PBE level.

abc: 2.647 2.647 8.234
angles: 90.00 90.00 90.00
Space group P4/mmm (No. 123)
One atom of each set of equivalent atoms:
Mg1 0.000 0.000 0.000
Co1 0.000 0.000 0.500
Re1 0.500 0.500 0.276

***

6.
Below is a relaxed MgCoRe4 crystal, with properties calculated at the GGA-PBE level.

abc: 7.317 7.317 7.317
angles: 90.00 90.00 90.00
Space group F-43m (No. 216)
One atom of each set of equivalent atoms:
Mg1 0.000 0.000 0.000
Co1 0.250 0.250 0.750
Re1 0.125 0.125 0.375

***

7.
Below is a relaxed MgCoRe2 crystal, with properties calculated at the GGA-PBE level.

abc: 6.100 6.100 6.100
angles: 90.00 90.00 90.00
Space group F-43m (No. 216)
One atom of each set of equivalent atoms:
Mg1 0.000 0.000 0.000
Co1 0.250 0.250 0.250
Re1 0.000 0.000 0.500
Re2 0.250 0.250 0.750

***

8.
Below is a relaxed Mg2Co2Re crystal, with properties calculated at the GGA-PBE level.

abc: 6.014 6.014 4.194
angles: 90.00 90.00 90.00
Space group P4/mbm (No. 127)
One atom of each set of equivalent atoms:
Mg1 0.179 0.321 0.000
Co1 0.129 0.629 0.500
Re1 0.000 0.000 0.500

***

9.
Below is a relaxed MgCo2Re crystal, with properties calculated at the GGA-PBE level.

abc: 5.909 5.909 5.909
angles: 90.00 90.00 90.00
Space group F-43m (No. 216)
One atom of each set of equivalent atoms:
Mg1 0.000 0.000 0.000
Co1 0.000 0.000 0.500
Co2 0.250 0.250 0.750
Re1 0.250 0.250 0.250

***

10.
Below is a relaxed MgCo2Re crystal, with properties calculated at the GGA-PBE level.

abc: 8.368 2.642 4.987
angles: 90.00 96.44 90.00
Space group C2/m (No. 12)
One atom of each set of equivalent atoms:
Mg1 0.000 0.000 0.000
Co1 0.246 0.000 0.712
Re1 0.000 0.500 0.500

***

11.
Below is a relaxed MgCoRe2 crystal, with properties calculated at the GGA-PBE level.

abc: 2.7404 2.7404 26.8458
angles: 90.00 90.00 120.00
Space group R-3m (No. 166, hexagonal axes)
One atom of each set of equivalent atoms:
Mg1 0.0000 0.0000 0.0000
Co1 0.0000 0.0000 0.5000
Re1 0.0000 0.0000 0.2427

***

12.
Below is a relaxed MgCoRe3 crystal, with properties calculated at the GGA-PBE level.

Results
ΔE to the lowest computed polymorph   0 meV/atom

abc: 4.446 4.446 4.446
angles: 90.00 90.00 90.00
Space group Pm-3m (No. 221)
One atom of each set of equivalent atoms:
Mg1 0.000 0.000 0.000
Co1 0.500 0.500 0.500
Re1 0.000 0.500 0.500

***

13.
Below is a relaxed MgCoRe2 crystal, with properties calculated at the GGA-PBE level.

abc: 2.648 4.372 5.093
angles: 90.00 102.71 90.00
Space group P2/m (No. 10)
One atom of each set of equivalent atoms:
Mg1 0.000 0.000 0.000
Co1 0.500 0.000 0.500
Re1 0.283 0.500 0.749

***

14.
Below is a relaxed MgCo2Re crystal, with properties calculated at the GGA-PBE level.

abc: 2.7226 2.7226 25.5295
angles: 90.00 90.00 120.00
Space group R-3m (No. 166, hexagonal axes)
One atom of each set of equivalent atoms:
Mg1 0.0000 0.0000 0.0000
Co1 0.0000 0.0000 0.2464
Re1 0.0000 0.0000 0.5000

***

15.
Below is a relaxed MgCo2Re crystal, with properties calculated at the GGA-PBE level.

abc: 5.653 6.784 2.684
angles: 90.00 90.00 90.00
Space group Cmmm (No. 65)
One atom of each set of equivalent atoms:
Mg1 0.000 0.000 0.000
Co1 0.250 0.250 0.500
Re1 0.000 0.500 0.000

***

16.
Below is a relaxed MgCo2Re crystal, with properties calculated at the GGA-PBE level.

abc: 3.592 3.592 7.956
angles: 90.00 90.00 90.00
Space group I-4m2 (No. 119)
One atom of each set of equivalent atoms:
Mg1 0.000 0.000 0.000
Co1 0.000 0.000 0.500
Co2 0.000 0.500 0.250
Re1 0.000 0.500 0.750

***

17.
Below is a relaxed MgCo2Re crystal, with properties calculated at the GGA-PBE level.

abc: 2.622 3.885 5.241
angles: 90.00 90.00 90.00
Space group Pmm2 (No. 25)
One atom of each set of equivalent atoms:
Mg1 0.000 0.000 0.000
Co1 0.000 0.000 0.505
Co2 0.500 0.500 0.782
Re1 0.500 0.500 0.314

***

18.
Below is a relaxed MgCo2Re crystal, with properties calculated at the GGA-PBE level.

abc: 2.711 3.456 5.712
angles: 90.00 90.00 90.00
Space group Pmmm (No. 47)
One atom of each set of equivalent atoms:
Mg1 0.000 0.000 0.000
Co1 0.500 0.500 0.280
Re1 0.000 0.000 0.500

***

19.
Below is a relaxed MgCoRe2 crystal, with properties calculated at the GGA-PBE level.

abc: 3.084 3.084 6.349
angles: 90.00 90.00 90.00
Space group P4/mmm (No. 123)
One atom of each set of equivalent atoms:
Mg1 0.000 0.000 0.000
Co1 0.000 0.000 0.500
Re1 0.500 0.500 0.305

***

20.
Below is a relaxed MgCoRe2 crystal, with properties calculated at the GGA-PBE level.

abc: 5.096 8.464 2.650
angles: 90.00 90.00 90.00
Space group Cmmm (No. 65)
One atom of each set of equivalent atoms:
Mg1 0.000 0.000 0.000
Co1 0.000 0.500 0.000
Re1 0.250 0.250 0.500

***

no.,theoretical density (g/cm³),energy (eV/atom),density of states at the Fermi level (states/eV/f.u.)
1,10.13,-6.876,3.36
2,13.07,-8.217,2.59
3,9.68,-5.922,6.10
4,10.20,-6.618,4.38
5,13.12,-8.148,3.28
6,14.04,-9.240,6.37
7,13.33,-8.202,3.72
8,7.72,-5.771,4.36
9,10.57,-6.614,7.20
10,9.96,-6.803,3.46
11,13.00,-8.113,4.02
12,12.13,-7.748,7.23
13,13.16,-8.115,3.72
14,9.98,-6.829,5.31
15,10.60,-6.916,4.25
16,10.63,-6.765,3.75
17,10.21,-6.801,4.21
18,10.19,-6.936,4.57
19,12.53,-7.961,3.77
20,13.24,-7.889,3.78